(1)
Below is a PBEsol-optimized structure of CsSn2Pd2, with properties calculated at the SCAN level.

POSCAR file:
```
CsSn2Pd2
1.0
-0.855 -4.122 1.980
-0.583 -1.900 -4.207
6.894 1.621 0.885
Sn Pd Cs
2 2 1
Direct
0.653 0.653 0.306 Sn
0.347 0.347 0.694 Sn
0.250 0.750 0.500 Pd
0.750 0.250 0.500 Pd
0.000 0.000 0.000 Cs
```

Calculated values
ΔE_f: -0.383 eV/atom
Fermi-level density of states: 1.9 states/eV/f.u.



(2)
Below is a PBEsol-optimized structure of BaPSN2, with properties calculated at the SCAN level.

POSCAR file:
```
BaPSN2
1.0
-1.293 -4.098 0.345
3.563 -0.936 2.238
-3.000 1.399 5.360
N P Ba S
2 1 1 1
Direct
0.500 0.000 0.000 N
0.000 0.500 0.000 N
0.500 0.500 0.500 P
0.000 0.000 0.000 Ba
0.000 0.000 0.500 S
```

Calculated values
final energy: -13.516 eV per atom
Fermi-level density of states: 3.3 states/eV/f.u.



(3)
Below is a PBEsol-optimized structure of Al2AgO, with properties calculated at the SCAN level.

POSCAR file:
```
Al2AgO
1.0
-5.225 0.387 -0.915
1.714 -3.779 4.070
0.163 5.166 1.253
Ag Al O
2 4 2
Direct
0.000 0.000 0.000 Ag
0.250 0.500 0.750 Ag
0.125 0.750 0.536 Al
0.625 0.750 0.214 Al
0.464 0.250 0.375 Al
0.786 0.250 0.875 Al
0.750 0.500 0.250 O
0.500 0.000 0.500 O
```

Calculated values
final energy: -14.119 eV per atom
Fermi-level density of states: 1.3 states/eV/f.u.



(4)
Below is a PBEsol-optimized structure of ZrBrCl2, with properties calculated at the SCAN level.

POSCAR file:
```
ZrBrCl2
1.0
4.748 0.000 0.000
2.374 4.111 0.000
2.374 1.370 3.876
Br Cl Zr
1 2 1
Direct
0.000 0.000 0.000 Br
0.750 0.750 0.750 Cl
0.250 0.250 0.250 Cl
0.500 0.500 0.500 Zr
```

Calculated values
relative energy among the computed polymorphs: 0.929 eV per atom
Fermi-level density of states: 1.5 states/eV/f.u.



(5)
Below is a PBEsol-optimized structure of In2TcAgSb, with properties calculated at the SCAN level.

POSCAR file:
```
In2TcAgSb
1.0
-0.314 -3.722 -3.266
3.214 -3.124 3.251
-4.495 -1.910 2.608
Ag In Sb Tc
1 2 1 1
Direct
0.500 0.500 0.500 Ag
0.000 0.000 0.500 In
0.000 0.500 0.000 In
0.000 0.000 0.000 Sb
0.500 0.000 0.000 Tc
```

Calculated values
final energy: -32.898 eV per atom
Fermi-level density of states: 3.0 states/eV/f.u.



(6)
Below is a PBEsol-optimized structure of LaYSc2, with properties calculated at the SCAN level.

POSCAR file:
```
LaYSc2
1.0
-3.571 -1.009 0.460
-0.622 -0.261 -5.405
3.598 -4.641 2.554
Sc Y La
2 1 1
Direct
0.261 0.761 0.522 Sc
0.985 0.985 0.970 Sc
0.514 0.514 0.028 Y
0.740 0.240 0.479 La
```

Calculated values
ΔE_f: 0.097 eV/atom
relative energy among the computed polymorphs: 0.028 eV per atom
Fermi-level density of states: 5.4 states/eV/f.u.